No. 1
# AcHoSc PBE relaxed
# - Energy of formation: 0.36 eV per formula unit
# - E above lowest polymorph: 0.014 eV/atom
data_AcHoSc
_chemical_formula_sum 'Ac4 Ho4 Sc4'
_space_group_name_H-M_alt 'P 1'
_space_group_IT_number 1
_cell_length_a 6.2268
_cell_length_b 8.0430
_cell_length_c 8.8054
_cell_angle_alpha 68.48
_cell_angle_beta 89.07
_cell_angle_gamma 74.72
loop_
_space_group_symop_operation_xyz
'x,y,z'
loop_
_atom_site_label
_atom_site_type_symbol
_atom_site_fract_x
_atom_site_fract_y
_atom_site_fract_z
Ac1 Ac 0.0000 0.0000 0.0000
Ac2 Ac 0.0643 0.2831 0.5587
Ac3 Ac 0.4103 0.2714 0.9035
Ac4 Ac 0.6640 0.9948 0.6478
Ho1 Ho 0.1582 0.5191 0.1522
Ho2 Ho 0.2484 0.7529 0.7312
Ho3 Ho 0.3304 0.0028 0.3186
Ho4 Ho 0.7421 0.2707 0.2333
Sc1 Sc 0.4891 0.5356 0.4679
Sc2 Sc 0.5862 0.7417 0.0793
Sc3 Sc 0.8213 0.5205 0.8203
Sc4 Sc 0.9080 0.7555 0.4018

No. 2
# Ac2HoScSe5 PBE relaxed
# - Uncorrected formation energy: -1.83 eV/atom
data_Ac2HoScSe5
_chemical_formula_sum 'Ac8 Ho4 Sc4 Se20'
_space_group_name_H-M_alt 'C m c 21'
_space_group_IT_number 36
_cell_length_a 4.2205
_cell_length_b 17.4710
_cell_length_c 13.2958
_cell_angle_alpha 90.00
_cell_angle_beta 90.00
_cell_angle_gamma 90.00
loop_
_space_group_symop_operation_xyz
'x,y,z'
'-x,-y,z+1/2'
'-x,y,z'
'x,-y,z+1/2'
'x+1/2,y+1/2,z'
'-x+1/2,-y+1/2,z+1/2'
'-x+1/2,y+1/2,z'
'x+1/2,-y+1/2,z+1/2'
loop_
_atom_site_label
_atom_site_type_symbol
_atom_site_fract_x
_atom_site_fract_y
_atom_site_fract_z
Ac1 Ac 0.0000 0.1052 0.0000
Ac2 Ac 0.0000 0.1431 0.6214
Ho1 Ho 0.0000 0.2070 0.3257
Sc1 Sc 0.0000 0.4713 0.7687
Se1 Se 0.0000 0.0538 0.3820
Se2 Se 0.0000 0.2806 0.9733
Se3 Se 0.0000 0.3235 0.6798
Se4 Se 0.0000 0.3713 0.3126
Se5 Se 0.0000 0.4862 0.0818

No. 3
# Ac3Ho3ScSe8 PBE relaxed
# - Uncorrected formation energy: -1.82 eV/atom
data_Ac3Ho3ScSe8
_chemical_formula_sum 'Ac9 Ho9 Sc3 Se24'
_space_group_name_H-M_alt 'R -3 m'
_space_group_IT_number 166
_space_group_name_Hall '-R 3 2"'
_cell_length_a 8.2954
_cell_length_b 8.2954
_cell_length_c 21.4386
_cell_angle_alpha 90.00
_cell_angle_beta 90.00
_cell_angle_gamma 120.00
loop_
_atom_site_label
_atom_site_type_symbol
_atom_site_fract_x
_atom_site_fract_y
_atom_site_fract_z
Ac1 Ac 0.0000 0.5000 0.0000
Ho1 Ho 0.0000 0.5000 0.5000
Sc1 Sc 0.0000 0.0000 0.5000
Se1 Se 0.0000 0.0000 0.2398
Se2 Se 0.0038 0.5019 0.2395

No. 4
# AcHoScSe3 PBE relaxed
# - Uncorrected formation energy: -1.61 eV/atom
data_AcHoScSe3
_chemical_formula_sum 'Ac2 Ho2 Sc2 Se6'
_space_group_name_H-M_alt 'P 1 21/m 1'
_space_group_IT_number 11
_cell_length_a 8.5358
_cell_length_b 4.1596
_cell_length_c 9.4994
_cell_angle_alpha 90.00
_cell_angle_beta 106.90
_cell_angle_gamma 90.00
loop_
_space_group_symop_operation_xyz
'x,y,z'
'-x,-y,-z'
'-x,y+1/2,-z'
'x,-y+1/2,z'
loop_
_atom_site_label
_atom_site_type_symbol
_atom_site_fract_x
_atom_site_fract_y
_atom_site_fract_z
Ac1 Ac 0.1905 0.2500 0.2234
Ho1 Ho 0.3381 0.7500 0.8610
Sc1 Sc 0.1043 0.2500 0.5998
Se1 Se 0.1052 0.2500 0.8801
Se2 Se 0.2391 0.7500 0.4973
Se3 Se 0.4500 0.7500 0.1784

No. 5
# AcSmHoSc PBE relaxed
# - Energy of formation: 0.46 eV per formula unit
data_AcSmHoSc
_chemical_formula_sum 'Ac4 Sm4 Ho4 Sc4'
_space_group_name_H-M_alt 'F -4 3 m'
_space_group_IT_number 216
_space_group_name_Hall 'F -4 2 3'
_cell_length_a 8.1051
_cell_length_b 8.1051
_cell_length_c 8.1051
_cell_angle_alpha 90.00
_cell_angle_beta 90.00
_cell_angle_gamma 90.00
loop_
_atom_site_label
_atom_site_type_symbol
_atom_site_fract_x
_atom_site_fract_y
_atom_site_fract_z
Ac1 Ac 0.0000 0.0000 0.0000
Sm1 Sm 0.0000 0.0000 0.5000
Ho1 Ho 0.2500 0.2500 0.2500
Sc1 Sc 0.2500 0.2500 0.7500

No. 6
# Ac2HoScTe5 PBE relaxed
# - Uncorrected formation energy: -1.37 eV/atom
data_Ac2HoScTe5
_chemical_formula_sum 'Ac8 Ho4 Sc4 Te20'
_space_group_name_H-M_alt 'C m c 21'
_space_group_IT_number 36
_cell_length_a 4.4553
_cell_length_b 18.7275
_cell_length_c 14.3050
_cell_angle_alpha 90.00
_cell_angle_beta 90.00
_cell_angle_gamma 90.00
loop_
_space_group_symop_operation_xyz
'x,y,z'
'-x,-y,z+1/2'
'-x,y,z'
'x,-y,z+1/2'
'x+1/2,y+1/2,z'
'-x+1/2,-y+1/2,z+1/2'
'-x+1/2,y+1/2,z'
'x+1/2,-y+1/2,z+1/2'
loop_
_atom_site_label
_atom_site_type_symbol
_atom_site_fract_x
_atom_site_fract_y
_atom_site_fract_z
Ac1 Ac 0.0000 0.1049 0.0000
Ac2 Ac 0.0000 0.1433 0.6235
Ho1 Ho 0.0000 0.2055 0.3247
Sc1 Sc 0.0000 0.4707 0.7656
Te1 Te 0.0000 0.0533 0.3829
Te2 Te 0.0000 0.2798 0.9741
Te3 Te 0.0000 0.3232 0.6756
Te4 Te 0.0000 0.3710 0.3127
Te5 Te 0.0000 0.4852 0.0794

No. 7
# Ac2HoScTe6 PBE relaxed
# - Uncorrected formation energy: -1.47 eV/atom
data_Ac2HoScTe6
_chemical_formula_sum 'Ac4 Ho2 Sc2 Te12'
_space_group_name_H-M_alt 'P 1 21/c 1'
_space_group_IT_number 14
_cell_length_a 7.4784
_cell_length_b 8.3766
_cell_length_c 13.3457
_cell_angle_alpha 90.00
_cell_angle_beta 123.57
_cell_angle_gamma 90.00
loop_
_space_group_symop_operation_xyz
'x,y,z'
'-x,-y,-z'
'-x,y+1/2,-z+1/2'
'x,-y+1/2,z+1/2'
loop_
_atom_site_label
_atom_site_type_symbol
_atom_site_fract_x
_atom_site_fract_y
_atom_site_fract_z
Ac1 Ac 0.2000 0.1122 0.2479
Ho1 Ho 0.5000 0.0000 0.0000
Sc1 Sc 0.0000 0.0000 0.5000
Te1 Te 0.1032 0.1866 0.9403
Te2 Te 0.2686 0.6773 0.9411
Te3 Te 0.3735 0.0270 0.7437

No. 8
# AcHoScTe3 PBE relaxed
# - Uncorrected formation energy: -1.24 eV/atom
data_AcHoScTe3
_chemical_formula_sum 'Ac2 Ho2 Sc2 Te6'
_space_group_name_H-M_alt 'P 1 21/m 1'
_space_group_IT_number 11
_cell_length_a 8.9656
_cell_length_b 4.4274
_cell_length_c 10.1052
_cell_angle_alpha 90.00
_cell_angle_beta 106.82
_cell_angle_gamma 90.00
loop_
_space_group_symop_operation_xyz
'x,y,z'
'-x,-y,-z'
'-x,y+1/2,-z'
'x,-y+1/2,z'
loop_
_atom_site_label
_atom_site_type_symbol
_atom_site_fract_x
_atom_site_fract_y
_atom_site_fract_z
Ac1 Ac 0.1918 0.2500 0.2378
Ho1 Ho 0.3225 0.7500 0.8382
Sc1 Sc 0.0907 0.2500 0.5940
Te1 Te 0.0990 0.2500 0.8832
Te2 Te 0.2605 0.7500 0.5085
Te3 Te 0.4383 0.7500 0.1616

No. 9
# AcHoThSc PBE relaxed
# - Energy of formation: 0.49 eV per formula unit
data_AcHoThSc
_chemical_formula_sum 'Ac4 Ho4 Th4 Sc4'
_space_group_name_H-M_alt 'F -4 3 m'
_space_group_IT_number 216
_space_group_name_Hall 'F -4 2 3'
_cell_length_a 8.0411
_cell_length_b 8.0411
_cell_length_c 8.0411
_cell_angle_alpha 90.00
_cell_angle_beta 90.00
_cell_angle_gamma 90.00
loop_
_atom_site_label
_atom_site_type_symbol
_atom_site_fract_x
_atom_site_fract_y
_atom_site_fract_z
Ac1 Ac 0.0000 0.0000 0.0000
Ho1 Ho 0.2500 0.2500 0.2500
Th1 Th 0.0000 0.0000 0.5000
Sc1 Sc 0.2500 0.2500 0.7500

No. 10
# Ac6HoSe8 PBE relaxed
# - Uncorrected formation energy: -1.89 eV/atom
data_Ac6HoSe8
_chemical_formula_sum 'Ac24 Ho4 Se32'
_space_group_name_H-M_alt 'F m -3 m'
_space_group_IT_number 225
_space_group_name_Hall '-F 4 2 3'
_cell_length_a 12.5333
_cell_length_b 12.5333
_cell_length_c 12.5333
_cell_angle_alpha 90.00
_cell_angle_beta 90.00
_cell_angle_gamma 90.00
loop_
_atom_site_label
_atom_site_type_symbol
_atom_site_fract_x
_atom_site_fract_y
_atom_site_fract_z
Ac1 Ac 0.0000 0.2500 0.2500
Ho1 Ho 0.0000 0.0000 0.0000
Se1 Se 0.0000 0.0000 0.2344
Se2 Se 0.2500 0.2500 0.2500

No. 11
# AcHoSe2 PBE relaxed
# - E above lowest polymorph: 0.294 eV/atom
# - Uncorrected formation energy: -1.50 eV/atom
data_AcHoSe2
_chemical_formula_sum 'Ac4 Ho4 Se8'
_space_group_name_H-M_alt 'F m -3 m'
_space_group_IT_number 225
_space_group_name_Hall '-F 4 2 3'
_cell_length_a 7.4047
_cell_length_b 7.4047
_cell_length_c 7.4047
_cell_angle_alpha 90.00
_cell_angle_beta 90.00
_cell_angle_gamma 90.00
loop_
_atom_site_label
_atom_site_type_symbol
_atom_site_fract_x
_atom_site_fract_y
_atom_site_fract_z
Ac1 Ac 0.0000 0.0000 0.0000
Ho1 Ho 0.0000 0.0000 0.5000
Se1 Se 0.2500 0.2500 0.2500

No. 12
# AcHoSe PBE relaxed
# - E above lowest polymorph: 0.000 eV/atom
# - Uncorrected formation energy: -1.02 eV/atom
data_AcHoSe
_chemical_formula_sum 'Ac2 Ho2 Se2'
_space_group_name_H-M_alt 'P -6 m 2'
_space_group_IT_number 187
_space_group_name_Hall 'P -6 2'
_cell_length_a 3.9356
_cell_length_b 3.9356
_cell_length_c 14.2553
_cell_angle_alpha 90.00
_cell_angle_beta 90.00
_cell_angle_gamma 120.00
loop_
_atom_site_label
_atom_site_type_symbol
_atom_site_fract_x
_atom_site_fract_y
_atom_site_fract_z
Ac1 Ac 0.0000 0.0000 0.0000
Ac2 Ac 0.3333 0.6667 0.5000
Ho1 Ho 0.3333 0.6667 0.2132
Se1 Se 0.0000 0.0000 0.3411